RbCrW2: relaxed, PBE.

Calculated values
The density of states at the Fermi level is 10.68 states/eV per cell. For the volume, the calculation gives 218 Å³ per cell. As for the crystal system: tetragonal. The value obtained for the uncorrected energy is -55.43 eV per cell. As for the energy above the most stable polymorph in this dataset: 0.108 eV per formula unit.

POSCAR file:
```
RbCrW2
1.0
-1.6005 4.9297 0.5906
-3.0963 -0.5060 -4.1677
-8.3150 -0.2928 2.9482
Cr W Rb
2 4 2
Cartesian
-6.8798 0.7065 -1.5040 Cr
-2.3484 2.2119 -1.7885 Cr
-4.6582 1.5949 -1.6300 W
-8.8568 1.2989 -0.2869 W
-9.4866 3.7916 0.2379 W
-3.0219 1.5765 0.4213 W
-6.1319 3.4244 0.8752 Rb
0.0000 0.0000 0.0000 Rb
```

---

Sc2TeAs: relaxed, PBE.

Calculated values
As for the uncorrected formation energy: -20.0 kcal/mol of atoms. The density of states at the Fermi level is 7.13 states/eV per cell. For the volume, the calculation gives 252 Å³ per cell. As for the crystal system: tetragonal. The value obtained for the uncorrected energy is -47.84 eV per cell.

POSCAR file:
```
Sc2TeAs
1.0
6.3322 0.0000 0.0000
0.0000 6.3322 0.0000
3.1661 3.1661 6.2731
Te Sc As
2 4 2
Cartesian
0.0000 0.0000 0.0000 Te
6.3322 3.1661 3.1366 Te
4.7491 4.9694 4.7049 Sc
7.9152 7.6950 4.7049 Sc
1.8033 4.7491 1.5683 Sc
4.5289 1.5830 1.5683 Sc
3.1661 6.3322 3.1366 As
3.1661 3.1661 0.0000 As
```

---

BeInPd3: relaxed, PBE.

Calculated values
The density of states at the Fermi level is 2.59 states/eV per cell. For the volume, the calculation gives 78 Å³ per cell. As for the crystal system: cubic. The value obtained for the uncorrected energy is -23.74 eV per cell. As for the energy above the most stable polymorph in this dataset: 0.000 eV per formula unit.

POSCAR file:
```
BeInPd3
1.0
4.2810 0.0000 0.0000
0.0000 4.2810 0.0000
0.0000 0.0000 4.2810
Be Pd In
1 3 1
Cartesian
0.0000 0.0000 0.0000 Be
0.0000 0.0000 2.1405 Pd
0.0000 2.1405 0.0000 Pd
2.1405 0.0000 0.0000 Pd
2.1405 2.1405 2.1405 In
```

---

Rb3Tl2Sn9: relaxed, PBE.

Calculated values
The density of states at the Fermi level is 5.32 states/eV per cell. For the volume, the calculation gives 473 Å³ per cell. As for the crystal system: orthorhombic. The value obtained for the uncorrected energy is -45.17 eV per cell.

POSCAR file:
```
Rb3Tl2Sn9
1.0
-4.1107 -0.8558 -3.3908
3.9389 -5.1328 -7.7748
-1.5661 -9.9919 0.1252
Sn Rb Tl
9 3 2
Cartesian
-1.0046 -6.6065 -1.4100 Sn
-1.6770 -3.6210 -1.3482 Sn
1.1864 -7.5623 -3.8248 Sn
-0.0609 -12.3594 -9.6922 Sn
-0.1460 -2.2696 -3.5454 Sn
-0.7334 -9.3740 -9.6305 Sn
-3.2409 -11.5873 -6.0320 Sn
1.5030 -4.3931 -5.0084 Sn
-1.5920 -13.7109 -7.4951 Sn
-2.0992 -5.2827 -4.7121 Rb
0.3613 -10.6977 -6.3283 Rb
0.0000 0.0000 0.0000 Rb
0.2299 -7.0202 -7.0972 Tl
-1.9679 -8.9602 -3.9432 Tl
```

---

HoErFeAu: relaxed, PBE.

Calculated values
The density of states at the Fermi level is 6.40 states/eV per cell. For the volume, the calculation gives 84 Å³ per cell. As for the crystal system: cubic. The value obtained for the uncorrected energy is -22.12 eV per cell.

POSCAR file:
```
HoErFeAu
1.0
4.9170 0.0000 0.0000
2.4585 4.2582 0.0000
2.4585 1.4194 4.0147
Er Fe Au Ho
1 1 1 1
Cartesian
0.0000 0.0000 0.0000 Er
2.4585 1.4194 1.0037 Fe
7.3754 4.2582 3.0110 Au
4.9170 2.8388 2.0073 Ho
```

---

Tl4CdHg2Sb2: relaxed, PBE.

Calculated values
As for the uncorrected formation energy: 0.4 kcal/mol of atoms. The density of states at the Fermi level is 1.46 states/eV per cell. For the volume, the calculation gives 292 Å³ per cell. As for the crystal system: monoclinic. The value obtained for the uncorrected energy is -19.09 eV per cell.

POSCAR file:
```
Tl4CdHg2Sb2
1.0
5.2475 -0.0883 -0.0601
1.2071 7.9271 0.4852
1.2071 3.3619 7.1953
Tl Sb Hg Cd
4 2 2 1
Cartesian
5.8383 8.2295 3.0447 Tl
1.8233 5.3470 1.0836 Tl
1.8233 2.9712 4.5757 Tl
5.8383 5.8537 6.5368 Tl
5.8010 9.0215 6.1377 Sb
1.8606 2.1793 1.4826 Sb
3.1290 6.8010 4.6270 Hg
4.5326 4.3998 2.9934 Hg
2.6237 -0.0442 -0.0300 Cd
```

---

BaLa2AgO: relaxed, PBE.

Calculated values
As for the uncorrected formation energy: -24.8 kcal/mol of atoms. The density of states at the Fermi level is 4.52 states/eV per cell. For the volume, the calculation gives 141 Å³ per cell. As for the crystal system: tetragonal. The value obtained for the uncorrected energy is -24.95 eV per cell.

POSCAR file:
```
BaLa2AgO
1.0
4.9889 0.0000 0.0000
0.0000 4.9889 0.0000
0.0000 0.0000 5.6604
La Ag O Ba
2 1 1 1
Cartesian
2.4945 0.0000 0.0000 La
0.0000 2.4945 0.0000 La
2.4945 2.4945 2.8302 Ag
0.0000 0.0000 0.0000 O
0.0000 0.0000 2.8302 Ba
```

---

CePmPuAu: relaxed, PBE.

Calculated values
The density of states at the Fermi level is 8.27 states/eV per cell. For the volume, the calculation gives 98 Å³ per cell. As for the crystal system: cubic. The value obtained for the uncorrected energy is -28.97 eV per cell.

POSCAR file:
```
CePmPuAu
1.0
5.1821 0.0000 0.0000
2.5911 4.4878 0.0000
2.5911 1.4959 4.2312
Pm Au Ce Pu
1 1 1 1
Cartesian
2.5911 1.4959 1.0578 Pm
0.0000 0.0000 0.0000 Au
5.1821 2.9919 2.1156 Ce
7.7732 4.4878 3.1734 Pu
```

---

RhW2Se: relaxed, PBE.

Calculated values
As for the uncorrected formation energy: 7.2 kcal/mol of atoms. The density of states at the Fermi level is 2.90 states/eV per cell. For the volume, the calculation gives 63 Å³ per cell. As for the crystal system: orthorhombic. The value obtained for the uncorrected energy is -35.49 eV per cell.

POSCAR file:
```
RhW2Se
1.0
-1.1352 -4.0229 -3.2724
4.0182 -2.9382 -1.8446
-2.6375 1.7260 4.2715
W Se Rh
2 1 1
Cartesian
1.3710 -3.3103 -2.4333 W
0.0705 -0.1703 -0.1252 W
1.4111 -2.3464 -0.0658 Se
-1.1656 -2.8887 -0.7797 Rh
```

---

Tb3Sm8In: relaxed, PBE.

Calculated values
The density of states at the Fermi level is 16.91 states/eV per cell. For the volume, the calculation gives 432 Å³ per cell. As for the crystal system: tetragonal. The value obtained for the uncorrected energy is -48.81 eV per cell.

POSCAR file:
```
Tb3Sm8In
1.0
-6.6698 -4.7714 1.7904
6.4778 -3.6544 -3.8911
4.6481 2.7713 6.4166
Sm Tb In
8 3 1
Cartesian
2.5342 -1.5439 1.4123 Sm
5.2080 -3.0220 2.8083 Sm
-0.3724 -2.6626 1.5937 Sm
-3.5748 -3.6743 1.6559 Sm
5.8235 -2.0076 -1.3166 Sm
8.5431 -1.4736 0.5810 Sm
4.9230 1.1546 3.7560 Sm
8.0796 0.1542 3.1922 Sm
5.5630 -0.4415 1.2627 Tb
2.6855 -4.4337 -0.4190 Tb
1.7706 -1.2208 4.7349 Tb
0.0000 0.0000 0.0000 In
```

---

AcLa2Tb4Nd: relaxed, PBE.

Calculated values
The density of states at the Fermi level is 10.98 states/eV per cell. For the volume, the calculation gives 281 Å³ per cell. As for the crystal system: orthorhombic. The value obtained for the uncorrected energy is -37.02 eV per cell.

POSCAR file:
```
AcLa2Tb4Nd
1.0
5.2889 0.0000 0.0000
0.0000 5.1219 1.1497
0.0001 2.9138 11.0173
Nd Tb Ac La
1 4 1 2
Cartesian
0.0001 4.0178 6.0836 Nd
2.6445 3.4782 8.4979 Tb
5.2889 1.9965 3.0937 Tb
2.6445 4.5575 3.6691 Tb
0.0001 6.0392 9.0734 Tb
2.6445 5.4747 11.5922 Ac
0.0001 2.9138 11.0173 La
2.6445 1.4569 5.5087 La
```

---

Tl2ReRh: relaxed, PBE.

Calculated values
The density of states at the Fermi level is 3.24 states/eV per cell. For the volume, the calculation gives 81 Å³ per cell. As for the crystal system: orthorhombic. The value obtained for the uncorrected energy is -22.88 eV per cell. As for the energy above the most stable polymorph in this dataset: 0.000 eV per formula unit.

POSCAR file:
```
Tl2ReRh
1.0
1.4837 -8.9649 0.0000
1.4837 8.9649 0.0000
0.0000 0.0000 3.0355
Tl Rh Re
2 1 1
Cartesian
1.4837 6.0100 0.0000 Tl
1.4837 3.0286 1.5178 Tl
1.4837 -0.7434 1.5178 Rh
1.4837 -8.1663 0.0000 Re
```